Entry 1:
Tb5Dy5Tm2: relaxed, PBE-GGA.

Lattice parameters (Å, degrees): 5.0000 7.8970 11.1646 115.10 90.00 108.46
With the nearest neighbours (Å) after each atom.
Sites, in units of the cell vectors:
Tb (0.5000, 0.0000, 0.5000)  6 Dy 3.52-3.53, 2 Tb 3.53, 4 Tm 3.53
Tb (0.6666, 0.3333, 0.9998)  4 Tb 3.53-3.54, 3 Tm 3.53, 5 Dy 3.53-3.54
Tb (0.5829, 0.1657, 0.2499)  3 Tb 3.53-3.54, 2 Tm 3.53, 7 Dy 3.53-3.54
Tb (0.4171, 0.8343, 0.7501)  3 Tb 3.53-3.54, 2 Tm 3.53, 7 Dy 3.53-3.54
Tb (0.3334, 0.6667, 0.0002)  4 Tb 3.53-3.54, 3 Tm 3.53, 5 Dy 3.53-3.54
Dy (0.1666, 0.3332, 0.5002)  5 Dy 3.53-3.54, 2 Tm 3.53, 5 Tb 3.53-3.54
Dy (0.7492, 0.4985, 0.7492)  6 Tb 3.52-3.54, 2 Tm 3.53, 4 Dy 3.53-3.54
Dy (0.2508, 0.5015, 0.2508)  6 Tb 3.52-3.54, 2 Tm 3.53, 4 Dy 3.53-3.54
Dy (0.8334, 0.6668, 0.4998)  5 Dy 3.53-3.54, 2 Tm 3.53, 5 Tb 3.53-3.54
Dy (0.0000, 0.0000, 0.0000)  2 Tm 3.53, 8 Tb 3.53, 2 Dy 3.54
Tm (0.0836, 0.1672, 0.7502)  5 Dy 3.53, 7 Tb 3.53
Tm (0.9164, 0.8328, 0.2498)  5 Dy 3.53, 7 Tb 3.53

Results
energy of formation: 0.017 eV per atom
magnetic moment: 0.00 μB per cell

Entry 2:
TaReAg4: relaxed, PBE-GGA.

Lattice parameters (Å, degrees): 5.2732 5.2732 5.2732 60.00 60.00 60.00
With the nearest neighbours (Å) after each atom.
Sites, in units of the cell vectors:
Ta (0.0000, 0.0000, 0.0000)  12 Ag 3.09, 4 Re 3.23
Re (0.7500, 0.7500, 0.7500)  12 Ag 3.09, 4 Ta 3.23
Ag (0.8751, 0.3750, 0.3750)  6 Ag 2.64
Ag (0.3750, 0.3750, 0.8751)  6 Ag 2.64
Ag (0.3750, 0.8751, 0.3750)  6 Ag 2.64
Ag (0.3750, 0.3750, 0.3750)  6 Ag 2.64

Results
energy of formation: 0.802 eV per atom
magnetic moment: 0.00 μB per cell

Entry 3:
La2ZrGaN: relaxed, PBE-GGA.

Lattice parameters (Å, degrees): 5.1378 5.1378 4.4317 90.00 90.00 90.00
With the nearest neighbours (Å) after each atom.
Sites, in units of the cell vectors:
N (0.0000, 0.0000, 0.0000)  2 Zr 2.22
Ga (0.5000, 0.5000, 0.5000)  8 La 3.39, 4 Zr 3.63
Zr (0.0000, 0.0000, 0.5000)  2 N 2.22
La (0.0000, 0.5000, 0.0000)  2 N 2.57
La (0.5000, 0.0000, 0.0000)  2 N 2.57

Results
ΔE_f (raw): -769 meV per atom
magnetic moment: 0.56 μB per cell

Entry 4:
InHPb2: relaxed, PBE-GGA.

Lattice parameters (Å, degrees): 5.1531 5.1531 5.1531 60.00 60.00 60.00
With the nearest neighbours (Å) after each atom.
Sites, in units of the cell vectors:
Pb (0.2500, 0.2500, 0.2500)  4 In 3.16, 4 H 3.16
Pb (0.7500, 0.7500, 0.7500)  4 In 3.16, 4 H 3.16
H (0.0000, 0.0000, 0.0000)  8 Pb 3.16
In (0.5000, 0.5000, 0.5000)  8 Pb 3.16

Results
DFT total energy: -2.9607 eV/atom
magnetic moment: 0.00 μB per cell

Question: The highest magnetic moment belongs to which entry?
Answer: La2ZrGaN

Question: Among the records above, which one has the highest magnetic moment?
Answer: La2ZrGaN

Question: Among the records above, which one has the highest magnetic moment?
Answer: La2ZrGaN